An optimized crystal structure of HgMoAs2, computed with PBE.

Lattice parameters (Å, degrees): 6.487 6.487 6.487 153.26 134.50 53.56
Sites, in units of the cell vectors:
As: 0.073 0.073 0.000
As: 0.427 0.427 0.000
Hg: 0.750 0.250 0.500
Mo: 0.250 0.750 0.500

ΔE_f   0.249 eV per atom
Calculated density   8.50 g/cm³
V   87.2 Å³/cell
Crystal system   orthorhombic
Raw total energy   -19.44 eV per cell

An optimized crystal structure of YZrGe2, computed with PBE.

Lattice parameters (Å, degrees): 4.927 4.927 4.927 60.00 60.00 60.00
Last column: magnetic moment on the atom in μB.
Sites, in units of the cell vectors:
Y: 0.000 0.000 0.000  0.18
Ge: 0.250 0.250 0.250  0.04
Ge: 0.750 0.750 0.750  0.04
Zr: 0.500 0.500 0.500  0.61

ΔE_f   -0.438 eV per atom
Calculated density   6.39 g/cm³
V   84.6 Å³/cell
Crystal system   cubic
Relative energy among the computed polymorphs   0.297 eV per atom
Raw total energy   -26.00 eV per cell

An optimized crystal structure of Nd3Tm2Cd, computed with PBE.

Lattice parameters (Å, degrees): 3.636 3.636 14.246 90.00 90.00 90.00
Sites, in units of the cell vectors:
Tm: 0.500 0.500 0.173
Tm: 0.500 0.500 0.827
Cd: 0.500 0.500 0.500
Nd: 0.000 0.000 0.651
Nd: 0.000 0.000 0.349
Nd: 0.000 0.000 0.000

ΔE_f   -0.080 eV per atom
Calculated density   7.79 g/cm³
V   188.3 Å³/cell
Crystal system   tetragonal
Raw total energy   -24.64 eV per cell

An optimized crystal structure of Ba6NiPt2I3, computed with PBE.

Lattice parameters (Å, degrees): 7.994 7.994 9.099 98.42 98.42 119.98
Sites, in units of the cell vectors:
Ba: 0.933 0.602 0.800
Ba: 0.602 0.933 0.800
Ba: 0.067 0.398 0.200
Ba: 0.265 0.265 0.800
Ba: 0.735 0.735 0.200
Ba: 0.398 0.067 0.200
I: 0.167 0.833 0.500
I: 0.500 0.500 0.500
I: 0.833 0.167 0.500
Pt: 0.333 0.667 0.000
Pt: 0.667 0.333 0.000
Ni: 0.000 0.000 0.000

Calculated density   5.70 g/cm³
Uncorrected formation energy   -0.969 eV per atom
V   481.6 Å³/cell
Crystal system   monoclinic
Raw total energy   -45.68 eV per cell

An optimized crystal structure of Rb2NaAg3Te4, computed with PBE.

Lattice parameters (Å, degrees): 5.121 5.121 11.726 90.00 90.00 90.00
Sites, in units of the cell vectors:
Te: 0.000 0.500 0.362
Te: 0.500 0.500 0.000
Te: 0.500 0.000 0.638
Te: 0.000 0.000 0.000
Rb: 0.500 0.000 0.250
Rb: 0.000 0.500 0.750
Ag: 0.000 0.500 0.122
Ag: 0.000 0.000 0.500
Ag: 0.500 0.000 0.878
Na: 0.500 0.500 0.500

Calculated density   5.55 g/cm³
Uncorrected formation energy   -0.536 eV per atom
V   307.5 Å³/cell
Crystal system   tetragonal
Raw total energy   -29.74 eV per cell

An optimized crystal structure of Ce3Sc2Bi4, computed with PBE.

Lattice parameters (Å, degrees): 4.532 7.888 10.062 124.17 90.00 106.69
Last column: magnetic moment on the atom in μB.
Sites, in units of the cell vectors:
Ce: 0.365 0.729 0.288  1.05
Ce: 0.635 0.271 0.712  1.05
Ce: 0.000 0.000 0.000  0.99
Bi: 0.675 0.350 0.067  -0.05
Bi: 0.325 0.650 0.933  -0.05
Bi: 0.067 0.133 0.395  -0.05
Bi: 0.933 0.867 0.605  -0.05
Sc: 0.682 0.364 0.362  0.47
Sc: 0.318 0.636 0.638  0.47

ΔE_f   -0.614 eV per atom
Calculated density   8.01 g/cm³
V   279.1 Å³/cell
Crystal system   monoclinic
Raw total energy   -51.51 eV per cell

An optimized crystal structure of La2PmHo5, computed with PBE.

Lattice parameters (Å, degrees): 5.117 7.176 14.358 90.00 90.00 90.00
Sites, in units of the cell vectors:
Ho: 0.500 0.246 0.375
Ho: 0.500 0.754 0.625
Ho: 0.000 0.495 0.251
Ho: 0.000 0.500 0.500
Ho: 0.000 0.000 0.000
Ho: 0.500 0.254 0.875
Ho: 0.000 0.005 0.751
Ho: 0.000 0.995 0.249
Ho: 0.000 0.505 0.749
Ho: 0.500 0.746 0.125
La: 0.500 0.246 0.126
La: 0.500 0.754 0.874
La: 0.500 0.254 0.626
La: 0.500 0.746 0.374
Pm: 0.000 0.000 0.500
Pm: 0.000 0.500 0.000

ΔE_f   0.030 eV per atom
Calculated density   7.86 g/cm³
V   527.2 Å³/cell
Crystal system   orthorhombic
Relative energy among the computed polymorphs   0.005 eV per atom
Raw total energy   -74.51 eV per cell

An optimized crystal structure of Ba2Tc2W, computed with PBE.

Lattice parameters (Å, degrees): 7.933 7.933 7.933 149.41 149.41 43.81
Last column: magnetic moment on the atom in μB.
Sites, in units of the cell vectors:
W: 0.000 0.000 0.000  1.12
Tc: 0.572 0.572 0.000  -0.35
Tc: 0.428 0.428 0.000  -0.35
Ba: 0.750 0.250 0.500  0.00
Ba: 0.250 0.750 0.500  0.00

ΔE_f   1.956 eV per atom
Calculated density   8.43 g/cm³
V   128.9 Å³/cell
Crystal system   tetragonal
Raw total energy   -27.75 eV per cell

An optimized crystal structure of SrAgAu2, computed with PBE.

Lattice parameters (Å, degrees): 4.722 4.722 4.122 90.00 90.00 90.05
Sites, in units of the cell vectors:
Sr: 0.500 0.000 0.500
Au: 0.500 0.500 0.000
Au: 0.000 0.000 0.000
Ag: 0.000 0.500 0.500

ΔE_f   -0.340 eV per atom
Calculated density   10.65 g/cm³
V   91.9 Å³/cell
Crystal system   tetragonal
Raw total energy   -12.45 eV per cell

An optimized crystal structure of ErPaGaAg, computed with PBE.

Lattice parameters (Å, degrees): 5.092 5.092 5.092 60.00 60.00 60.00
Last column: magnetic moment on the atom in μB.
Sites, in units of the cell vectors:
Ag: 0.250 0.250 0.250  0.04
Er: 0.500 0.500 0.500  0.32
Pa: 0.000 0.000 0.000  0.91
Ga: 0.750 0.750 0.750  -0.02

ΔE_f   -0.081 eV per atom
Calculated density   10.24 g/cm³
V   93.4 Å³/cell
Crystal system   cubic
Raw total energy   -20.26 eV per cell

An optimized crystal structure of HgTeMo2, computed with PBE.

Lattice parameters (Å, degrees): 3.307 4.691 4.691 90.00 90.00 90.00
Sites, in units of the cell vectors:
Mo: 0.000 0.000 0.000
Mo: 0.000 0.500 0.500
Te: 0.500 0.500 0.000
Hg: 0.500 0.000 0.500

Calculated density   11.87 g/cm³
Uncorrected formation energy   0.628 eV per atom
V   72.8 Å³/cell
Crystal system   tetragonal
Relative energy among the computed polymorphs   0.346 eV per atom
Raw total energy   -22.59 eV per cell

An optimized crystal structure of CaPr3Co, computed with PBE.

Lattice parameters (Å, degrees): 6.171 7.372 7.148 90.00 90.00 97.58
Sites, in units of the cell vectors:
Pr: 0.962 0.240 0.997
Pr: 0.425 0.087 0.750
Pr: 0.038 0.760 0.003
Pr: 0.038 0.760 0.497
Pr: 0.575 0.913 0.250
Pr: 0.962 0.240 0.503
Ca: 0.474 0.399 0.250
Ca: 0.526 0.601 0.750
Co: 0.175 0.041 0.250
Co: 0.825 0.959 0.750

ΔE_f   -0.001 eV per atom
Calculated density   5.38 g/cm³
V   322.3 Å³/cell
Crystal system   monoclinic
Relative energy among the computed polymorphs   0.000 eV per atom
Raw total energy   -46.90 eV per cell

An optimized crystal structure of Mo2P, computed with PBE.

Lattice parameters (Å, degrees): 10.513 10.513 10.513 163.75 163.75 23.06
Sites, in units of the cell vectors:
P: 0.000 0.000 0.000
P: 0.750 0.250 0.500
Mo: 0.179 0.679 0.500
Mo: 0.571 0.571 0.000
Mo: 0.429 0.429 0.000
Mo: 0.321 0.821 0.500

ΔE_f   0.131 eV per atom
Calculated density   8.14 g/cm³
V   90.9 Å³/cell
Crystal system   tetragonal
Relative energy among the computed polymorphs   0.515 eV per atom
Raw total energy   -53.36 eV per cell

An optimized crystal structure of K3PdC, computed with PBE.

Lattice parameters (Å, degrees): 6.129 6.129 6.129 90.00 90.00 90.00
Last column: magnetic moment on the atom in μB.
Sites, in units of the cell vectors:
K: 0.000 0.000 0.500  0.01
K: 0.000 0.500 0.000  0.01
K: 0.500 0.000 0.000  0.01
C: 0.500 0.500 0.500  1.13
Pd: 0.000 0.000 0.000  0.04

ΔE_f   1.161 eV per atom
Calculated density   1.70 g/cm³
V   230.2 Å³/cell
Crystal system   cubic
Relative energy among the computed polymorphs   0.000 eV per atom
Raw total energy   -11.90 eV per cell

An optimized crystal structure of LaCuOs2, computed with PBE.

Lattice parameters (Å, degrees): 4.396 4.022 4.022 90.00 90.00 90.00
Sites, in units of the cell vectors:
Os: 0.000 0.000 0.000
Os: 0.000 0.500 0.500
La: 0.500 0.000 0.500
Cu: 0.500 0.500 0.000

ΔE_f   0.578 eV per atom
Calculated density   13.61 g/cm³
V   71.1 Å³/cell
Crystal system   tetragonal
Relative energy among the computed polymorphs   0.322 eV per atom
Raw total energy   -29.17 eV per cell

An optimized crystal structure of Cs2AlRhF, computed with PBE.

Lattice parameters (Å, degrees): 5.989 4.326 5.989 90.00 90.00 90.00
Sites, in units of the cell vectors:
Rh: 0.000 0.500 0.000
Cs: 0.000 0.000 0.500
Cs: 0.500 0.000 0.000
Al: 0.500 0.500 0.500
F: 0.000 0.000 0.000

Calculated density   4.44 g/cm³
Uncorrected formation energy   -0.074 eV per atom
V   155.2 Å³/cell
Crystal system   tetragonal
Raw total energy   -15.04 eV per cell

An optimized crystal structure of PaInPd6, computed with PBE.

Lattice parameters (Å, degrees): 4.771 5.758 5.758 120.00 90.00 90.00
Sites, in units of the cell vectors:
In: 0.500 0.417 0.583
Pd: 0.500 0.915 0.085
Pd: 0.000 0.584 0.416
Pd: 0.500 0.915 0.580
Pd: 0.000 0.081 0.416
Pd: 0.000 0.584 0.919
Pd: 0.500 0.420 0.085
Pa: 0.000 0.083 0.917

ΔE_f   -0.641 eV per atom
Calculated density   11.93 g/cm³
V   137.0 Å³/cell
Crystal system   hexagonal
Relative energy among the computed polymorphs   0.051 eV per atom
Raw total energy   -48.52 eV per cell

An optimized crystal structure of NaAc3, computed with PBE.

Lattice parameters (Å, degrees): 4.163 6.441 7.455 115.59 106.22 90.00
Sites, in units of the cell vectors:
Ac: 0.500 0.415 0.000
Ac: 0.737 0.156 0.475
Ac: 0.263 0.681 0.525
Na: 0.000 0.915 0.000

ΔE_f   0.121 eV per atom
Calculated density   6.82 g/cm³
V   171.4 Å³/cell
Crystal system   orthorhombic
Relative energy among the computed polymorphs   0.000 eV per atom
Raw total energy   -13.16 eV per cell

An optimized crystal structure of AlZnPb2, computed with PBE.

Lattice parameters (Å, degrees): 3.486 3.486 8.190 90.00 90.00 94.49
Sites, in units of the cell vectors:
Al: 0.500 0.500 0.750
Zn: 0.500 0.500 0.250
Pb: 0.000 0.000 0.496
Pb: 0.000 0.000 0.004

ΔE_f   0.215 eV per atom
Calculated density   8.48 g/cm³
V   99.2 Å³/cell
Crystal system   orthorhombic
Raw total energy   -11.57 eV per cell

An optimized crystal structure of K2CdCu2Br6, computed with PBE.

Lattice parameters (Å, degrees): 7.683 7.737 7.796 116.55 90.00 119.77
Sites, in units of the cell vectors:
Br: 0.690 0.888 0.196
Br: 0.310 0.112 0.804
Br: 0.255 0.511 0.363
Br: 0.802 0.112 0.804
Br: 0.745 0.489 0.637
Br: 0.198 0.888 0.196
Cu: 0.951 0.902 0.797
Cu: 0.049 0.098 0.203
Cd: 0.500 0.000 0.500
K: 0.735 0.470 0.207
K: 0.265 0.530 0.793

Calculated density   3.84 g/cm³
Uncorrected formation energy   -0.932 eV per atom
V   344.8 Å³/cell
Crystal system   monoclinic
Raw total energy   -31.59 eV per cell

An optimized crystal structure of Ba3Li2PaSe6, computed with PBE.

Lattice parameters (Å, degrees): 7.691 7.691 8.262 90.00 90.00 120.00
Last column: magnetic moment on the atom in μB.
Sites, in units of the cell vectors:
Li: 0.667 0.333 0.829  0.00
Li: 0.333 0.667 0.171  0.00
Pa: 0.000 0.000 0.500  0.69
Ba: 0.667 0.333 0.401  0.01
Ba: 0.000 0.000 0.000  0.01
Ba: 0.333 0.667 0.599  0.01
Se: 0.664 0.832 0.294  -0.01
Se: 0.168 0.832 0.294  -0.01
Se: 0.336 0.168 0.706  -0.01
Se: 0.832 0.664 0.706  -0.01
Se: 0.832 0.168 0.706  -0.01
Se: 0.168 0.336 0.294  -0.01

Calculated density   4.44 g/cm³
Uncorrected formation energy   -1.523 eV per atom
V   423.3 Å³/cell
Crystal system   trigonal
Raw total energy   -58.28 eV per cell

An optimized crystal structure of Cs3Pr3ErSe8, computed with PBE.

Lattice parameters (Å, degrees): 8.673 8.679 9.933 115.96 90.00 119.98
Sites, in units of the cell vectors:
Cs: 0.500 0.500 0.000
Cs: 0.000 0.500 0.000
Cs: 0.000 0.000 0.000
Se: 0.778 0.556 0.316
Se: 0.222 0.963 0.684
Se: 0.269 0.538 0.308
Se: 0.731 0.462 0.692
Se: 0.778 0.037 0.316
Se: 0.741 0.963 0.684
Se: 0.259 0.037 0.316
Se: 0.222 0.444 0.684
Pr: 0.500 0.500 0.500
Pr: 0.000 0.500 0.500
Pr: 0.500 0.000 0.500
Er: 0.000 0.000 0.500

Calculated density   4.81 g/cm³
Uncorrected formation energy   -1.650 eV per atom
V   558.9 Å³/cell
Crystal system   monoclinic
Raw total energy   -74.08 eV per cell

An optimized crystal structure of YAl3Pt3, computed with PBE.

Lattice parameters (Å, degrees): 6.765 6.765 6.765 90.00 90.00 90.00
Sites, in units of the cell vectors:
Pt: 0.750 0.000 0.500
Pt: 0.250 0.000 0.500
Pt: 0.000 0.500 0.750
Pt: 0.500 0.750 0.000
Pt: 0.000 0.500 0.250
Pt: 0.500 0.250 0.000
Al: 0.000 0.750 0.500
Al: 0.500 0.000 0.250
Al: 0.750 0.500 0.000
Al: 0.500 0.000 0.750
Al: 0.000 0.250 0.500
Al: 0.250 0.500 0.000
Y: 0.000 0.000 0.000
Y: 0.500 0.500 0.500

ΔE_f   -0.570 eV per atom
Calculated density   8.10 g/cm³
V   309.6 Å³/cell
Crystal system   cubic
Raw total energy   -79.60 eV per cell

An optimized crystal structure of Ti5In2Pb, computed with PBE.

Lattice parameters (Å, degrees): 4.205 4.205 9.061 103.42 103.42 90.00
Sites, in units of the cell vectors:
Ti: 0.500 0.500 0.000
Ti: 0.377 0.877 0.755
Ti: 0.877 0.377 0.755
Ti: 0.623 0.123 0.245
Ti: 0.123 0.623 0.245
In: 0.251 0.251 0.502
In: 0.749 0.749 0.498
Pb: 0.000 0.000 0.000

ΔE_f   -0.098 eV per atom
Calculated density   7.42 g/cm³
V   151.4 Å³/cell
Crystal system   tetragonal
Relative energy among the computed polymorphs   0.000 eV per atom
Raw total energy   -49.44 eV per cell

An optimized crystal structure of Rb2BiRhCl6, computed with PBE.

Lattice parameters (Å, degrees): 7.448 7.448 7.438 59.95 59.95 90.00
Last column: magnetic moment on the atom in μB.
Sites, in units of the cell vectors:
Rb: 0.750 0.250 0.500  0.00
Rb: 0.250 0.750 0.500  0.00
Cl: 0.262 0.262 0.000  0.02
Cl: 0.263 0.263 0.474  0.01
Cl: 0.262 0.738 0.000  0.02
Cl: 0.738 0.262 0.000  0.02
Cl: 0.738 0.738 0.000  0.02
Cl: 0.737 0.737 0.526  0.01
Bi: 0.000 0.000 0.000  0.15
Rh: 0.500 0.500 0.000  0.66

Calculated density   3.96 g/cm³
Uncorrected formation energy   -1.128 eV per atom
V   291.3 Å³/cell
Crystal system   tetragonal
Raw total energy   -35.52 eV per cell